Density functional theory data (PBE-GGA) for HfAlCl3 after structural relaxation.

```
HfAlCl3
1.0
4.946 0.000 0.000
0.000 4.946 0.000
0.000 0.000 4.946
Hf Al Cl
1 1 3
Cartesian
2.473 2.473 2.473
0.000 0.000 0.000
0.000 2.473 0.000
0.000 0.000 2.473
2.473 0.000 0.000
```

Results
Its total energy is -18.8 eV per formula unit. The space group is Pm-3m (221).